LiHoSc2: relaxed, PBE-GGA.

```
LiHoSc2
1.0
3.3258 0.0000 0.0000
1.6629 2.8803 0.0000
1.6629 0.9601 10.5826
Li Ho Sc
1 1 2
direct
0.5004 0.5004 0.4989
0.6664 0.6664 0.0009
0.0860 0.0860 0.7420
0.2473 0.2473 0.2581
```

## Properties
ΔH_f (0 K): 0.142 eV per atom
SG: R3m (160)